Entry from Alexandria via LeMat-Bulk: a geometry-optimized OsRu2Br structure (PBE).

Properties
DFT total energy (eV/atom): -6.7867
SG: Immm
DOS at the Fermi energy (states/eV/cell): 5.45

abc: 5.2611 5.2611 5.2611
angles: 147.90 128.33 62.14
Fractional coordinates of all 4 atoms:
Ru 0.9855 0.9855 0.0000
Ru 0.5145 0.5145 0.0000
Os 0.2500 0.7500 0.5000
Br 0.7500 0.2500 0.5000